BeTlOs2: single point on PBEsol structure, SCAN.

The structure in CIF format:
```
data_BeTlOs2
_cell_length_a 3.8620
_cell_length_b 3.8620
_cell_length_c 3.9629
_cell_angle_alpha 90.00
_cell_angle_beta 90.00
_cell_angle_gamma 90.00
_space_group_name_H-M_alt 'P 1'
_space_group_IT_number 1
_space_group_name_Hall 'P 1'
loop_
_atom_site_label
_atom_site_fract_x
_atom_site_fract_y
_atom_site_fract_z
Tl1 0.5000 0.5000 0.5000
Be1 0.0000 0.0000 0.5000
Os1 0.5000 0.0000 0.0000
Os2 0.0000 0.5000 0.0000
```

* theoretical density: 16.7 g cm⁻³
* density of states at the Fermi level: 4.086 states/eV/f.u.
* total magnetization: 0.0 μB per cell
* total DFT energy (no corrections): -216.6 eV/f.u.

=====

BeTlOs3: single point on PBEsol structure, SCAN.

The structure in CIF format:
```
data_BeTlOs3
_cell_length_a 4.1829
_cell_length_b 4.1829
_cell_length_c 4.1829
_cell_angle_alpha 90.00
_cell_angle_beta 90.00
_cell_angle_gamma 90.00
_space_group_name_H-M_alt 'P 1'
_space_group_IT_number 1
_space_group_name_Hall 'P 1'
loop_
_atom_site_label
_atom_site_fract_x
_atom_site_fract_y
_atom_site_fract_z
Os1 0.0000 0.5000 0.0000
Os2 0.5000 0.0000 0.0000
Os3 0.0000 0.0000 0.5000
Tl1 0.5000 0.5000 0.5000
Be1 0.0000 0.0000 0.0000
```

* theoretical density: 17.8 g cm⁻³
* density of states at the Fermi level: 3.891 states/eV/f.u.
* total magnetization: 2.1 μB per cell
* total DFT energy (no corrections): -287.3 eV/f.u.

=====

Be2VOs2: single point on PBEsol structure, SCAN.

The structure in CIF format:
```
data_Be2VOs2
_cell_length_a 2.9119
_cell_length_b 6.1436
_cell_length_c 6.1436
_cell_angle_alpha 90.00
_cell_angle_beta 90.00
_cell_angle_gamma 90.00
_space_group_name_H-M_alt 'P 1'
_space_group_IT_number 1
_space_group_name_Hall 'P 1'
loop_
_atom_site_label
_atom_site_fract_x
_atom_site_fract_y
_atom_site_fract_z
Be1 0.0000 0.6223 0.1223
Os1 0.5000 0.3278 0.1722
Be2 0.0000 0.3777 0.8777
V1 0.0000 0.0000 0.0000
Os2 0.5000 0.6722 0.8278
Be3 0.0000 0.1223 0.3777
Os3 0.5000 0.8278 0.3278
Os4 0.5000 0.1722 0.6722
Be4 0.0000 0.8777 0.6223
V2 0.0000 0.5000 0.5000
```

* theoretical density: 13.6 g cm⁻³
* density of states at the Fermi level: 2.443 states/eV/f.u.
* total magnetization: 0.0 μB per cell
* total DFT energy (no corrections): -172.0 eV/f.u.

=====

Be4OsW: single point on PBEsol structure, SCAN.

The structure in CIF format:
```
data_Be4OsW
_cell_length_a 4.3659
_cell_length_b 4.3659
_cell_length_c 4.3659
_cell_angle_alpha 60.00
_cell_angle_beta 60.00
_cell_angle_gamma 60.00
_space_group_name_H-M_alt 'P 1'
_space_group_IT_number 1
_space_group_name_Hall 'P 1'
loop_
_atom_site_label
_atom_site_fract_x
_atom_site_fract_y
_atom_site_fract_z
Be1 0.3735 0.3735 0.8794
Be2 0.3735 0.3735 0.3735
Be3 0.3735 0.8794 0.3735
Os1 0.7500 0.7500 0.7500
Be4 0.8794 0.3735 0.3735
W1 0.0000 0.0000 0.0000
```

* theoretical density: 11.6 g cm⁻³
* density of states at the Fermi level: 1.977 states/eV/f.u.
* total magnetization: 0.0 μB per cell
* total DFT energy (no corrections): -161.1 eV/f.u.

=====

Be2OsW: single point on PBEsol structure, SCAN.

The structure in CIF format:
```
data_Be2OsW
_cell_length_a 2.9498
_cell_length_b 3.9635
_cell_length_c 3.9635
_cell_angle_alpha 98.27
_cell_angle_beta 90.00
_cell_angle_gamma 90.00
_space_group_name_H-M_alt 'P 1'
_space_group_IT_number 1
_space_group_name_Hall 'P 1'
loop_
_atom_site_label
_atom_site_fract_x
_atom_site_fract_y
_atom_site_fract_z
Be1 0.0000 0.5000 0.0000
Os1 0.5000 0.0000 0.0000
W1 0.5000 0.5000 0.5000
Be2 0.0000 0.0000 0.5000
```

* theoretical density: 14.2 g cm⁻³
* density of states at the Fermi level: 2.313 states/eV/f.u.
* total magnetization: 0.0 μB per cell
* total DFT energy (no corrections): -149.9 eV/f.u.

=====

Be2OsW: single point on PBEsol structure, SCAN.

The structure in CIF format:
```
data_Be2OsW
_cell_length_a 3.0149
_cell_length_b 3.8115
_cell_length_c 4.2069
_cell_angle_alpha 90.00
_cell_angle_beta 90.00
_cell_angle_gamma 90.00
_space_group_name_H-M_alt 'P 1'
_space_group_IT_number 1
_space_group_name_Hall 'P 1'
loop_
_atom_site_label
_atom_site_fract_x
_atom_site_fract_y
_atom_site_fract_z
Be1 0.5000 0.0000 0.5000
W1 0.0000 0.5000 0.5000
Be2 0.0000 0.0000 0.0000
Os1 0.5000 0.5000 0.0000
```

* theoretical density: 13.5 g cm⁻³
* density of states at the Fermi level: 1.302 states/eV/f.u.
* total magnetization: 0.0 μB per cell
* total DFT energy (no corrections): -150.0 eV/f.u.